Record 1
VASP calculation (GGA-PBEsol) on a relaxed structure of SrLa3.

As for the crystal system: hexagonal. The value obtained for the mass density is 5.51 Mg/m³. The formation energy is 103 meV/atom. The value obtained for the magnetic moment is 0.00 μB/cell. The value obtained for the density of states at the Fermi level is 1.73 states/eV per atom.

a = 3.762 Å, b = 3.762 Å, c = 12.388 Å
α = 90.00°, β = 90.00°, γ = 120.00°
Fractional positions:
Sr: 0.333 0.667 0.500
La: 0.000 0.000 0.235
La: 0.000 0.000 0.765
La: 0.333 0.667 0.000

Record 2
VASP calculation (GGA-PBEsol) on a relaxed structure of RbSnO3.

As for the crystal system: cubic. For the final energy, the calculation gives -3.6386 eV/atom. The value obtained for the mass density is 5.16 Mg/m³. The value obtained for the magnetic moment is 0.43 μB/cell. The value obtained for the density of states at the Fermi level is 0.77 states/eV per atom.

a = 4.328 Å, b = 4.328 Å, c = 4.328 Å
α = 90.00°, β = 90.00°, γ = 90.00°
Last column: magnetic moment on the atom in μB.
Fractional positions:
O: 0.000 0.500 0.000  0.11
O: 0.000 0.000 0.500  0.11
O: 0.500 0.000 0.000  0.11
Sn: 0.500 0.500 0.500  0.00
Rb: 0.000 0.000 0.000  0.07

Record 3
VASP calculation (GGA-PBEsol) on a relaxed structure of HfMgAl2Pb.

As for the crystal system: tetragonal. The value obtained for the mass density is 6.29 Mg/m³. The formation energy is 928 meV/atom. The value obtained for the magnetic moment is 0.00 μB/cell. The value obtained for the density of states at the Fermi level is 0.58 states/eV per atom.

a = 4.836 Å, b = 4.836 Å, c = 5.238 Å
α = 90.00°, β = 90.00°, γ = 90.00°
Fractional positions:
Pb: 0.500 0.500 0.500
Mg: 0.000 0.000 0.000
Hf: 0.000 0.000 0.500
Al: 0.000 0.500 0.000
Al: 0.500 0.000 0.000

Record 4
VASP calculation (GGA-PBEsol) on a relaxed structure of TlRuPt2.

The energy above the most stable polymorph in this dataset comes out at 0.0849 eV per atom. As for the crystal system: trigonal. The value obtained for the mass density is 17.80 Mg/m³. The formation energy is 358 meV/atom. The value obtained for the magnetic moment is 0.00 μB/cell. The value obtained for the density of states at the Fermi level is 1.11 states/eV per atom.

a = 2.904 Å, b = 2.904 Å, c = 9.046 Å
α = 80.76°, β = 80.76°, γ = 60.00°
Fractional positions:
Pt: 0.003 0.003 0.990
Pt: 0.753 0.753 0.742
Ru: 0.495 0.495 0.514
Tl: 0.249 0.249 0.254